Record 1
The following is a PBE-GGA calculation of a relaxed Si2Ir3 crystal, from Alexandria via LeMat-Bulk.

Cell lengths 10.0352, 10.0352, 10.0352 Å; angles 16.27, 16.27, 16.27 degrees
Last column: nearest neighbours and their distance in Å.
Positions (direct):
Si: 0.1011 0.1011 0.1011  6 Ir 2.45-2.55
Si: 0.8989 0.8989 0.8989  6 Ir 2.45-2.55
Ir: 0.2935 0.2935 0.2935  3 Si 2.45
Ir: 0.5000 0.5000 0.5000  6 Si 2.55, 6 Ir 2.84
Ir: 0.7065 0.7065 0.7065  3 Si 2.45

Values from the calculation:
For the energy above the lowest structure with this stoichiometry, the calculation gives 1.19 eV per formula unit. Its crystal system is trigonal. The total magnetization is 0.00 Bohr magnetons per cell. For the energy relative to the elements, uncorrected, the calculation gives -0.384 eV per atom. As for the space group: No. 166. As for the electronic total energy: -7.8693 eV/atom.



Record 2
The following is a PBE-GGA calculation of a relaxed SiIr5 crystal, from Alexandria via LeMat-Bulk.

Cell lengths 6.0735, 6.0735, 3.8329 Å; angles 90.00, 90.00, 142.88 degrees
Last column: nearest neighbours and their distance in Å.
Positions (direct):
Si: 0.0000 0.0000 0.0000  12 Ir 2.69-2.72
Ir: 0.1636 0.8364 0.5000  2 Si 2.69, 10 Ir 2.70-2.77
Ir: 0.3338 0.6662 0.0000  10 Ir 2.71-2.74, 2 Si 2.72
Ir: 0.5000 0.5000 0.5000  8 Ir 2.70-2.71, 4 Si 2.72
Ir: 0.6662 0.3338 0.0000  10 Ir 2.71-2.74, 2 Si 2.72
Ir: 0.8364 0.1636 0.5000  2 Si 2.69, 10 Ir 2.70-2.77

Values from the calculation:
For the energy above the lowest structure with this stoichiometry, the calculation gives 0.45 eV per formula unit. Its crystal system is orthorhombic. The total magnetization is 0.00 Bohr magnetons per cell. For the energy relative to the elements, uncorrected, the calculation gives -0.071 eV per atom. As for the space group: No. 65. As for the electronic total energy: -8.3588 eV/atom.



Record 3
The following is a PBE-GGA calculation of a relaxed Si3Ir crystal, from Alexandria via LeMat-Bulk.

Cell lengths 4.8451, 4.8451, 4.8451 Å; angles 90.00, 90.00, 90.00 degrees
Last column: nearest neighbours and their distance in Å.
Positions (direct):
Si: 0.0000 0.2500 0.5000  2 Si 2.42, 4 Ir 2.71
Si: 0.0000 0.7500 0.5000  2 Si 2.42, 4 Ir 2.71
Si: 0.2500 0.5000 0.0000  2 Si 2.42, 4 Ir 2.71
Si: 0.5000 0.0000 0.2500  2 Si 2.42, 4 Ir 2.71
Si: 0.5000 0.0000 0.7500  2 Si 2.42, 4 Ir 2.71
Si: 0.7500 0.5000 0.0000  2 Si 2.42, 4 Ir 2.71
Ir: 0.0000 0.0000 0.0000  12 Si 2.71
Ir: 0.5000 0.5000 0.5000  12 Si 2.71

Values from the calculation:
Its crystal system is cubic. The total magnetization is 0.00 Bohr magnetons per cell. For the energy relative to the elements, uncorrected, the calculation gives 0.230 eV per atom. As for the space group: No. 223. As for the electronic total energy: -6.0521 eV/atom.



Record 4
The following is a PBE-GGA calculation of a relaxed SiIr3 crystal, from Alexandria via LeMat-Bulk.

Cell lengths 4.5855, 4.5855, 2.7377 Å; angles 90.00, 90.00, 90.00 degrees
Last column: nearest neighbours and their distance in Å.
Positions (direct):
Si: 0.0000 0.0000 0.0000  8 Ir 2.67, 2 Si 2.74
Ir: 0.0000 0.5000 0.5000  6 Ir 2.67-2.74, 4 Si 2.67
Ir: 0.5000 0.0000 0.5000  6 Ir 2.67-2.74, 4 Si 2.67
Ir: 0.5000 0.5000 0.0000  10 Ir 2.67-2.74

Values from the calculation:
Its crystal system is tetragonal. The total magnetization is 0.00 Bohr magnetons per cell. For the energy relative to the elements, uncorrected, the calculation gives 0.006 eV per atom. As for the space group: No. 123. As for the electronic total energy: -7.9957 eV/atom.